(1)
Material: Nd2Cd2O5
Method: DFT, PBE-GGA
State: relaxed

```
data_Nd2Cd2O5
_chemical_formula_sum 'Nd2 Cd2 O5'
_cell_length_a 8.913
_cell_length_b 4.209
_cell_length_c 4.209
_cell_angle_alpha 90.00
_cell_angle_beta 90.00
_cell_angle_gamma 90.00
_symmetry_space_group_name_H-M 'P 1'
_symmetry_Int_Tables_number 1
loop_
_symmetry_equiv_pos_as_xyz
'x,y,z'
loop_
_atom_site_label
_atom_site_type_symbol
_atom_site_fract_x
_atom_site_fract_y
_atom_site_fract_z
O1 O 0.850 0.000 0.500
O2 O 0.150 0.500 0.000
Cd1 Cd 0.500 0.000 0.000
O3 O 0.150 0.000 0.500
O4 O 0.500 0.500 0.500
Nd1 Nd 0.758 0.500 0.500
Nd2 Nd 0.242 0.500 0.500
O5 O 0.850 0.500 0.000
Cd2 Cd 0.000 0.000 0.000
```

## Properties
energy relative to the lowest polymorph listed for this composition: 0.00 eV/f.u.



(2)
Material: Nd2CdO4
Method: DFT, PBE-GGA
State: relaxed

```
data_Nd2CdO4
_chemical_formula_sum 'Nd4 Cd2 O8'
_cell_length_a 6.980
_cell_length_b 6.980
_cell_length_c 6.980
_cell_angle_alpha 119.99
_cell_angle_beta 90.02
_cell_angle_gamma 119.99
_symmetry_space_group_name_H-M 'P 1'
_symmetry_Int_Tables_number 1
loop_
_symmetry_equiv_pos_as_xyz
'x,y,z'
loop_
_atom_site_label
_atom_site_type_symbol
_atom_site_fract_x
_atom_site_fract_y
_atom_site_fract_z
O1 O 0.615 0.231 0.385
Nd1 Nd 0.375 0.750 0.625
O2 O 0.135 0.731 0.865
Nd2 Nd 0.875 0.250 0.625
O3 O 0.135 0.269 0.404
O4 O 0.135 0.269 0.865
O5 O 0.596 0.731 0.865
O6 O 0.615 0.231 0.846
Nd3 Nd 0.375 0.250 0.625
O7 O 0.154 0.769 0.385
Cd1 Cd 0.750 0.500 0.250
Nd4 Nd 0.375 0.750 0.125
Cd2 Cd 0.000 0.000 0.000
O8 O 0.615 0.769 0.385
```

## Properties
energy: -6.8870 eV/atom



(3)
Material: NdCd3Os4O12
Method: DFT, PBE-GGA
State: relaxed

```
data_NdCd3Os4O12
_chemical_formula_sum 'Nd1 Cd3 Os4 O12'
_cell_length_a 6.729
_cell_length_b 6.729
_cell_length_c 6.729
_cell_angle_alpha 109.47
_cell_angle_beta 109.47
_cell_angle_gamma 109.47
_symmetry_space_group_name_H-M 'P 1'
_symmetry_Int_Tables_number 1
loop_
_symmetry_equiv_pos_as_xyz
'x,y,z'
loop_
_atom_site_label
_atom_site_type_symbol
_atom_site_fract_x
_atom_site_fract_y
_atom_site_fract_z
O1 O 0.285 0.097 0.812
O2 O 0.812 0.285 0.097
O3 O 0.812 0.715 0.527
Nd1 Nd 0.000 0.000 0.000
O4 O 0.715 0.903 0.188
O5 O 0.715 0.527 0.812
Os1 Os 0.000 0.500 0.000
O6 O 0.903 0.188 0.715
O7 O 0.097 0.812 0.285
O8 O 0.527 0.812 0.715
Cd1 Cd 0.500 0.000 0.500
O9 O 0.285 0.473 0.188
Os2 Os 0.000 0.000 0.500
Cd2 Cd 0.000 0.500 0.500
Os3 Os 0.500 0.500 0.500
O10 O 0.188 0.285 0.473
Os4 Os 0.500 0.000 0.000
O11 O 0.473 0.188 0.285
O12 O 0.188 0.715 0.903
Cd3 Cd 0.500 0.500 0.000
```

## Properties
energy: -6.6486 eV/atom